[1]
The following is a PBE calculation of HfZnPd2 after structural relaxation, from the Alexandria database.

Cell lengths 5.763, 5.763, 5.763 Å; angles 103.93, 103.93, 121.23 degrees
Fractional coordinates of all 8 atoms:
Hf (0.000, 0.000, 0.000)
Hf (0.750, 0.250, 0.500)
Zn (0.250, 0.750, 0.500)
Zn (0.500, 0.500, 0.000)
Pd (0.137, 0.125, 0.512)
Pd (0.375, 0.863, 0.988)
Pd (0.613, 0.625, 0.488)
Pd (0.875, 0.387, 0.012)

Output
size of the total moment: 0.0 μB per cell
theoretical density: 10.64 Mg/m³
crystal system: tetragonal
formation energy from the elements: -1.05 eV per formula unit
symmetry: No. 122


[2]
The following is a PBE calculation of HfZn7Pd4 after structural relaxation, from the Alexandria database.

Cell lengths 5.542, 5.542, 9.255 Å; angles 116.77, 116.77, 52.16 degrees
Fractional coordinates of all 12 atoms:
Hf (0.000, 0.000, 0.000)
Zn (0.113, 0.113, 0.448)
Zn (0.311, 0.311, 0.094)
Zn (0.337, 0.337, 0.372)
Zn (0.500, 0.500, 0.000)
Zn (0.663, 0.663, 0.628)
Zn (0.689, 0.689, 0.906)
Zn (0.887, 0.887, 0.552)
Pd (0.172, 0.172, 0.777)
Pd (0.404, 0.404, 0.681)
Pd (0.596, 0.596, 0.319)
Pd (0.828, 0.828, 0.223)

Output
size of the total moment: 0.0 μB per cell
theoretical density: 9.08 Mg/m³
crystal system: monoclinic
formation energy from the elements: -1.70 eV per formula unit
symmetry: No. 12


[3]
The following is a PBE calculation of HfZn2Pd2 after structural relaxation, from the Alexandria database.

Cell lengths 7.310, 7.310, 3.051 Å; angles 90.00, 90.00, 90.00 degrees
Fractional coordinates of all 10 atoms:
Hf (0.000, 0.000, 0.000)
Hf (0.500, 0.500, 0.000)
Zn (0.154, 0.346, 0.500)
Zn (0.346, 0.846, 0.500)
Zn (0.654, 0.154, 0.500)
Zn (0.846, 0.654, 0.500)
Pd (0.143, 0.643, 0.000)
Pd (0.357, 0.143, 0.000)
Pd (0.643, 0.857, 0.000)
Pd (0.857, 0.357, 0.000)

Output
size of the total moment: 0.0 μB per cell
theoretical density: 10.64 Mg/m³
distance to the lowest polymorph of the same formula: 0.099 eV per atom
crystal system: tetragonal
formation energy from the elements: -2.08 eV per formula unit
symmetry: No. 127


- Look up the formation energy from the elements of the second one.
  -1.70 eV per formula unit


- The lowest theoretical density belongs to which entry?
  HfZn7Pd4


What did the first record say?
The following is a PBE calculation of HfZnPd2 after structural relaxation, from the Alexandria database.

Cell lengths 5.763, 5.763, 5.763 Å; angles 103.93, 103.93, 121.23 degrees
Fractional coordinates of all 8 atoms:
Hf (0.000, 0.000, 0.000)
Hf (0.750, 0.250, 0.500)
Zn (0.250, 0.750, 0.500)
Zn (0.500, 0.500, 0.000)
Pd (0.137, 0.125, 0.512)
Pd (0.375, 0.863, 0.988)
Pd (0.613, 0.625, 0.488)
Pd (0.875, 0.387, 0.012)

Output
size of the total moment: 0.0 μB per cell
theoretical density: 10.64 Mg/m³
crystal system: tetragonal
formation energy from the elements: -1.05 eV per formula unit
symmetry: No. 122


Copy entry 3 word for word.
The following is a PBE calculation of HfZn2Pd2 after structural relaxation, from the Alexandria database.

Cell lengths 7.310, 7.310, 3.051 Å; angles 90.00, 90.00, 90.00 degrees
Fractional coordinates of all 10 atoms:
Hf (0.000, 0.000, 0.000)
Hf (0.500, 0.500, 0.000)
Zn (0.154, 0.346, 0.500)
Zn (0.346, 0.846, 0.500)
Zn (0.654, 0.154, 0.500)
Zn (0.846, 0.654, 0.500)
Pd (0.143, 0.643, 0.000)
Pd (0.357, 0.143, 0.000)
Pd (0.643, 0.857, 0.000)
Pd (0.857, 0.357, 0.000)

Output
size of the total moment: 0.0 μB per cell
theoretical density: 10.64 Mg/m³
distance to the lowest polymorph of the same formula: 0.099 eV per atom
crystal system: tetragonal
formation energy from the elements: -2.08 eV per formula unit
symmetry: No. 127